Record 1
# ZnB2AsPt, PBEsol geometry, DFT SCAN
# Formation energy ... 7.7 eV per formula unit
data_ZnB2AsPt
_space_group_name_H-M_alt 'P 1'
_space_group_IT_number 1
_cell_length_a 3.953
_cell_length_b 3.953
_cell_length_c 4.798
_cell_angle_alpha 90.00
_cell_angle_beta 90.00
_cell_angle_gamma 90.00
loop_
_space_group_symop_operation_xyz
'x,y,z'
loop_
_atom_site_label
_atom_site_fract_x
_atom_site_fract_y
_atom_site_fract_z
_atom_site_occupancy
B1 0.000 0.500 0.000 1
B2 0.500 0.000 0.000 1
Zn1 0.000 0.000 0.500 1
Pt1 0.500 0.500 0.500 1
As1 0.000 0.000 0.000 1

***

Record 2
# RbB2As2, PBEsol geometry, DFT SCAN
# Formation energy ... 3.4 eV per formula unit
data_RbB2As2
_space_group_name_H-M_alt 'P 1'
_space_group_IT_number 1
_cell_length_a 4.348
_cell_length_b 4.348
_cell_length_c 5.151
_cell_angle_alpha 114.96
_cell_angle_beta 114.96
_cell_angle_gamma 90.00
loop_
_space_group_symop_operation_xyz
'x,y,z'
loop_
_atom_site_label
_atom_site_fract_x
_atom_site_fract_y
_atom_site_fract_z
_atom_site_occupancy
As1 0.250 0.750 0.500 1
As2 0.750 0.250 0.500 1
Rb1 0.000 0.000 0.000 1
B1 0.388 0.388 0.776 1
B2 0.612 0.612 0.224 1

***

Record 3
# ReBAs2, PBEsol geometry, DFT SCAN
# Formation energy ... 2.4 eV per formula unit
data_ReBAs2
_space_group_name_H-M_alt 'P 1'
_space_group_IT_number 1
_cell_length_a 5.390
_cell_length_b 5.987
_cell_length_c 5.390
_cell_angle_alpha 63.24
_cell_angle_beta 90.00
_cell_angle_gamma 116.76
loop_
_space_group_symop_operation_xyz
'x,y,z'
loop_
_atom_site_label
_atom_site_fract_x
_atom_site_fract_y
_atom_site_fract_z
_atom_site_occupancy
As1 0.180 0.750 0.875 1
As2 0.375 0.250 0.180 1
As3 0.875 0.250 0.570 1
As4 0.570 0.750 0.375 1
B1 0.500 0.000 0.500 1
B2 0.250 0.500 0.250 1
Re1 0.750 0.500 0.750 1
Re2 0.000 0.000 0.000 1

***

Record 4
# ReB3As, PBEsol geometry, DFT SCAN
# Formation energy ... 7.2 eV per formula unit
data_ReB3As
_space_group_name_H-M_alt 'P 1'
_space_group_IT_number 1
_cell_length_a 4.128
_cell_length_b 4.128
_cell_length_c 4.128
_cell_angle_alpha 90.00
_cell_angle_beta 90.00
_cell_angle_gamma 90.00
loop_
_space_group_symop_operation_xyz
'x,y,z'
loop_
_atom_site_label
_atom_site_fract_x
_atom_site_fract_y
_atom_site_fract_z
_atom_site_occupancy
B1 0.000 0.000 0.500 1
B2 0.000 0.500 0.000 1
B3 0.500 0.000 0.000 1
As1 0.500 0.500 0.500 1
Re1 0.000 0.000 0.000 1

***

Record 5
# ReBAsRu2, PBEsol geometry, DFT SCAN
# Formation energy ... 11.3 eV per formula unit
data_ReBAsRu2
_space_group_name_H-M_alt 'P 1'
_space_group_IT_number 1
_cell_length_a 4.629
_cell_length_b 4.653
_cell_length_c 4.653
_cell_angle_alpha 90.00
_cell_angle_beta 90.00
_cell_angle_gamma 90.00
loop_
_space_group_symop_operation_xyz
'x,y,z'
loop_
_atom_site_label
_atom_site_fract_x
_atom_site_fract_y
_atom_site_fract_z
_atom_site_occupancy
As1 0.500 0.000 0.000 1
Ru1 0.000 0.000 0.500 1
Ru2 0.000 0.500 0.000 1
B1 0.500 0.500 0.500 1
Re1 0.000 0.000 0.000 1

***

Record 6
# BAsRu2, PBEsol geometry, DFT SCAN
# Formation energy ... 0.3 eV per formula unit
data_BAsRu2
_space_group_name_H-M_alt 'P 1'
_space_group_IT_number 1
_cell_length_a 4.048
_cell_length_b 4.048
_cell_length_c 4.048
_cell_angle_alpha 60.00
_cell_angle_beta 60.00
_cell_angle_gamma 60.00
loop_
_space_group_symop_operation_xyz
'x,y,z'
loop_
_atom_site_label
_atom_site_fract_x
_atom_site_fract_y
_atom_site_fract_z
_atom_site_occupancy
As1 0.500 0.500 0.500 1
Ru1 0.250 0.250 0.250 1
Ru2 0.750 0.750 0.750 1
B1 0.000 0.000 0.000 1

***

Record 7
# BAs2RuSe, PBEsol geometry, DFT SCAN
# ΔE_f (raw) ... 1.320 eV/atom
data_BAs2RuSe
_space_group_name_H-M_alt 'P 1'
_space_group_IT_number 1
_cell_length_a 4.578
_cell_length_b 4.578
_cell_length_c 5.157
_cell_angle_alpha 90.00
_cell_angle_beta 90.00
_cell_angle_gamma 90.00
loop_
_space_group_symop_operation_xyz
'x,y,z'
loop_
_atom_site_label
_atom_site_fract_x
_atom_site_fract_y
_atom_site_fract_z
_atom_site_occupancy
Se1 0.000 0.000 0.500 1
As1 0.500 0.000 0.000 1
As2 0.000 0.500 0.000 1
B1 0.500 0.500 0.500 1
Ru1 0.000 0.000 0.000 1

***

Record 8
# SiBAsRu2, PBEsol geometry, DFT SCAN
# ΔE_f (raw) ... 1.995 eV/atom
data_SiBAsRu2
_space_group_name_H-M_alt 'P 1'
_space_group_IT_number 1
_cell_length_a 4.481
_cell_length_b 4.481
_cell_length_c 4.493
_cell_angle_alpha 90.00
_cell_angle_beta 90.00
_cell_angle_gamma 90.00
loop_
_space_group_symop_operation_xyz
'x,y,z'
loop_
_atom_site_label
_atom_site_fract_x
_atom_site_fract_y
_atom_site_fract_z
_atom_site_occupancy
Si1 0.000 0.000 0.500 1
As1 0.000 0.000 0.000 1
Ru1 0.500 0.000 0.000 1
Ru2 0.000 0.500 0.000 1
B1 0.500 0.500 0.500 1

***

Record 9
# Y2BAsRu, PBEsol geometry, DFT SCAN
# Formation energy ... 1.8 eV per formula unit
data_Y2BAsRu
_space_group_name_H-M_alt 'P 1'
_space_group_IT_number 1
_cell_length_a 4.497
_cell_length_b 5.176
_cell_length_c 5.176
_cell_angle_alpha 90.00
_cell_angle_beta 90.00
_cell_angle_gamma 90.00
loop_
_space_group_symop_operation_xyz
'x,y,z'
loop_
_atom_site_label
_atom_site_fract_x
_atom_site_fract_y
_atom_site_fract_z
_atom_site_occupancy
Ru1 0.000 0.000 0.000 1
Y1 0.000 0.000 0.500 1
Y2 0.000 0.500 0.000 1
B1 0.500 0.500 0.500 1
As1 0.500 0.000 0.000 1

***

Record 10
# B2SbAs, PBEsol geometry, DFT SCAN
# ΔE_f (raw) ... 1.623 eV/atom
data_B2SbAs
_space_group_name_H-M_alt 'P 1'
_space_group_IT_number 1
_cell_length_a 4.290
_cell_length_b 4.290
_cell_length_c 4.290
_cell_angle_alpha 60.00
_cell_angle_beta 60.00
_cell_angle_gamma 60.00
loop_
_space_group_symop_operation_xyz
'x,y,z'
loop_
_atom_site_label
_atom_site_fract_x
_atom_site_fract_y
_atom_site_fract_z
_atom_site_occupancy
As1 0.000 0.000 0.000 1
B1 0.750 0.750 0.750 1
B2 0.250 0.250 0.250 1
Sb1 0.500 0.500 0.500 1

***

Record 11
# BSb2TeAs, PBEsol geometry, DFT SCAN
# ΔE_f (raw) ... 1.559 eV/atom
data_BSb2TeAs
_space_group_name_H-M_alt 'P 1'
_space_group_IT_number 1
_cell_length_a 5.325
_cell_length_b 5.325
_cell_length_c 5.278
_cell_angle_alpha 90.00
_cell_angle_beta 90.00
_cell_angle_gamma 90.00
loop_
_space_group_symop_operation_xyz
'x,y,z'
loop_
_atom_site_label
_atom_site_fract_x
_atom_site_fract_y
_atom_site_fract_z
_atom_site_occupancy
Sb1 0.000 0.500 0.000 1
Sb2 0.500 0.000 0.000 1
B1 0.500 0.500 0.500 1
As1 0.000 0.000 0.000 1
Te1 0.000 0.000 0.500 1

***

Record 12
# Sc3BAs, PBEsol geometry, DFT SCAN
# Formation energy ... -3.3 eV per formula unit
data_Sc3BAs
_space_group_name_H-M_alt 'P 1'
_space_group_IT_number 1
_cell_length_a 4.504
_cell_length_b 4.504
_cell_length_c 4.504
_cell_angle_alpha 90.00
_cell_angle_beta 90.00
_cell_angle_gamma 90.00
loop_
_space_group_symop_operation_xyz
'x,y,z'
loop_
_atom_site_label
_atom_site_fract_x
_atom_site_fract_y
_atom_site_fract_z
_atom_site_occupancy
Sc1 0.500 0.000 0.000 1
Sc2 0.000 0.000 0.500 1
Sc3 0.000 0.500 0.000 1
As1 0.500 0.500 0.500 1
B1 0.000 0.000 0.000 1

***

Record 13
# ScBAs3, PBEsol geometry, DFT SCAN
# Formation energy ... 5.9 eV per formula unit
data_ScBAs3
_space_group_name_H-M_alt 'P 1'
_space_group_IT_number 1
_cell_length_a 4.984
_cell_length_b 4.984
_cell_length_c 4.984
_cell_angle_alpha 90.00
_cell_angle_beta 90.00
_cell_angle_gamma 90.00
loop_
_space_group_symop_operation_xyz
'x,y,z'
loop_
_atom_site_label
_atom_site_fract_x
_atom_site_fract_y
_atom_site_fract_z
_atom_site_occupancy
As1 0.000 0.500 0.000 1
As2 0.000 0.000 0.500 1
As3 0.500 0.000 0.000 1
Sc1 0.000 0.000 0.000 1
B1 0.500 0.500 0.500 1

***

Record 14
# BAsSe2, PBEsol geometry, DFT SCAN
# ΔE_f (raw) ... 1.215 eV/atom
# E above lowest polymorph ... 0.676 eV/atom
data_BAsSe2
_space_group_name_H-M_alt 'P 1'
_space_group_IT_number 1
_cell_length_a 4.554
_cell_length_b 4.554
_cell_length_c 4.554
_cell_angle_alpha 60.00
_cell_angle_beta 60.00
_cell_angle_gamma 60.00
loop_
_space_group_symop_operation_xyz
'x,y,z'
loop_
_atom_site_label
_atom_site_fract_x
_atom_site_fract_y
_atom_site_fract_z
_atom_site_occupancy
Se1 0.250 0.250 0.250 1
Se2 0.750 0.750 0.750 1
B1 0.000 0.000 0.000 1
As1 0.500 0.500 0.500 1

***

Magnetization readings, ordered: 0.00, 0.00, 1.82, 0.00, 1.84, 0.00, 0.00, 0.82, 0.00, 0.00, 0.00, 0.00, 0.00, 0.00 μB per cell